Here is a relaxed BaMnSe2O6 crystal from Alexandria via LeMat-Bulk. Energies are from GGA+U.

The space group is R-3 (No. 148, hexagonal axes) and the conventional cell measures 5.6583, 5.6583 and 17.8832 Å, with angles of 90.00, 90.00 and 120.00 degrees. Symmetry generates all atoms from Ba at (0.0000, 0.0000, 0.0000), Mn at (0.0000, 0.0000, 0.5000), Se at (0.0000, 0.0000, 0.2727) and O at (0.0276, 0.6201, 0.9036).

The calculation puts the total DFT energy (no corrections) at -6.01 eV/atom. For the density of states at the Fermi level, the calculation gives 0.0 states/eV/f.u.